The following is a DFT calculation (PBE with a Hubbard U) of MnVBiF6 after structural relaxation.

Structure (extended XYZ):
```
18
Lattice="5.5133 0.0000 0.0000 -2.7567 4.7747 0.0000 0.0000 0.0000 11.0653" Properties=species:S:1:pos:R:3 pbc="T T T"
F 3.6231 0.0156 3.9016
F 1.8902 0.0156 1.6310
F 4.5547 1.6291 1.6310
F -0.9316 1.6448 7.1637
F -1.7980 3.1455 9.4342
F -0.8665 4.7591 7.1637
F 1.7980 3.1455 7.1637
V 0.0000 3.1831 8.2989
Mn 0.0000 3.1831 2.7663
Bi 0.0000 0.0000 5.5326
F 0.8665 4.7591 9.4342
F 3.6882 3.1299 3.9016
V 2.7567 1.5916 2.7663
F 0.9586 1.6291 3.9016
F 1.8251 3.1299 1.6310
Bi 0.0000 0.0000 0.0000
F 0.9316 1.6448 9.4342
Mn 2.7567 1.5916 8.2989
```

Summary:
E = -5.63 eV/atom